1.
An optimized crystal structure of LiCa2PrAu4, computed with PBE-GGA.

Results
DFT total energy (eV/atom): -3.67
Energy of formation from the pure elements (eV per formula unit): -5.5
Theoretical density (Mg/m³): 9.02

```
LiCa2PrAu4
1.0
-2.054 -1.669 -4.355
2.759 0.006 -4.285
2.890 -8.252 -1.183
Ca Au Li Pr
2 4 1 1
direct
0.757 0.757 0.729
0.243 0.243 0.271
0.877 0.877 0.369
0.377 0.377 0.870
0.623 0.623 0.130
0.123 0.123 0.631
0.500 0.500 0.500
0.000 0.000 0.000
```



2.
An optimized crystal structure of CaMg2Zn2Hg2, computed with PBE-GGA.

Results
DFT total energy (eV/atom): -1.42
Energy of formation from the pure elements (eV per formula unit): -1.6
Theoretical density (Mg/m³): 6.58

```
CaMg2Zn2Hg2
1.0
4.660 0.000 0.000
2.330 4.036 0.000
2.330 1.345 8.330
Zn Hg Mg Ca
2 2 2 1
direct
0.589 0.589 0.232
0.411 0.411 0.768
0.748 0.748 0.757
0.252 0.252 0.243
0.867 0.867 0.398
0.133 0.133 0.602
0.000 0.000 0.000
```



3.
An optimized crystal structure of TiBe17Zn, computed with PBE-GGA.

Results
DFT total energy (eV/atom): -3.88
Energy of formation from the pure elements (eV per formula unit): -1.2
Theoretical density (Mg/m³): 2.62

```
TiBe17Zn
1.0
-0.858 -1.673 5.250
3.817 -4.064 0.127
4.113 2.906 2.396
Be Ti Zn
17 1 1
direct
0.158 0.659 0.659
0.342 0.342 0.839
0.001 0.694 0.298
0.898 0.898 0.898
0.342 0.839 0.342
0.986 0.502 0.986
0.659 0.158 0.659
0.659 0.659 0.158
0.694 0.001 0.298
0.298 0.001 0.694
0.694 0.298 0.001
0.986 0.986 0.502
0.098 0.098 0.098
0.839 0.342 0.342
0.298 0.694 0.001
0.502 0.986 0.986
0.001 0.298 0.694
0.663 0.663 0.663
0.382 0.382 0.382
```